Compound: Sc4InGa
Source: Alexandria
Functional: PBE
Structure: optimized geometry

Structure (CIF):
```
data_Sc4InGa
_chemical_formula_sum 'Sc4 In1 Ga1'
_cell_length_a 4.748
_cell_length_b 4.748
_cell_length_c 6.774
_cell_angle_alpha 89.99
_cell_angle_beta 90.00
_cell_angle_gamma 90.00
_space_group_name_H-M_alt 'P 1'
_space_group_IT_number 1
loop_
_space_group_symop_operation_xyz
'x,y,z'
loop_
_atom_site_label
_atom_site_fract_x
_atom_site_fract_y
_atom_site_fract_z
Sc1 0.501 0.997 0.261
Sc2 0.501 0.997 0.735
Sc3 0.001 0.497 0.735
Sc4 0.001 0.497 0.261
In1 0.501 0.497 0.998
Ga1 0.001 0.997 0.498
```

N(E_F) in states/eV/f.u.: 8.08
Magnetic moment in μB/cell: 0.003
ρ in g/cm³: 3.96
Symmetry: P4/mmm
Calculated formation energy in eV per atom: -0.1496
Distance to the lowest polymorph of the same formula in eV/f.u.: 0.00

---

Compound: Nb2HO
Source: Alexandria
Functional: PBE
Structure: optimized geometry

Structure (CIF):
```
data_Nb2HO
_chemical_formula_sum 'Nb2 H1 O1'
_cell_length_a 2.918
_cell_length_b 2.918
_cell_length_c 6.834
_cell_angle_alpha 77.67
_cell_angle_beta 77.67
_cell_angle_gamma 60.00
_space_group_name_H-M_alt 'P 1'
_space_group_IT_number 1
loop_
_space_group_symop_operation_xyz
'x,y,z'
loop_
_atom_site_label
_atom_site_fract_x
_atom_site_fract_y
_atom_site_fract_z
H1 0.000 0.000 0.000
Nb1 0.088 0.088 0.735
Nb2 0.912 0.912 0.265
O1 0.500 0.500 0.500
```

N(E_F) in states/eV/f.u.: 1.63
Magnetic moment in μB/cell: 0.000
ρ in g/cm³: 6.90
Symmetry: R-3m
Distance to the lowest polymorph of the same formula in eV/f.u.: 1.49

---

Compound: CoSbTe2
Source: Alexandria
Functional: PBE
Structure: optimized geometry

Structure (CIF):
```
data_CoSbTe2
_chemical_formula_sum 'Co1 Sb1 Te2'
_cell_length_a 6.651
_cell_length_b 6.651
_cell_length_c 6.651
_cell_angle_alpha 148.13
_cell_angle_beta 137.14
_cell_angle_gamma 54.39
_space_group_name_H-M_alt 'P 1'
_space_group_IT_number 1
loop_
_space_group_symop_operation_xyz
'x,y,z'
loop_
_atom_site_label
_atom_site_fract_x
_atom_site_fract_y
_atom_site_fract_z
Co1 0.750 0.250 0.500
Sb1 0.250 0.750 0.500
Te1 0.904 0.904 0.000
Te2 0.596 0.596 0.000
```

N(E_F) in states/eV/f.u.: 4.88
Energy relative to the elements, uncorrected in eV per atom: 0.120
Magnetic moment in μB/cell: 0.344
ρ in g/cm³: 6.89
Symmetry: Immm